1.
TlGa2SnHg | Alexandria via LeMat-Bulk | PBE | relaxed; formation energy = 44 meV/atom; DOS at the Fermi energy = 0.28 states/eV per atom
1.0
4.0065 0.0000 0.0000
0.0000 6.4476 -0.1726
0.0000 -1.2545 9.9425
Tl Ga Sn Hg
2 4 2 2
Direct
0.7500 0.2480 0.0664
0.2500 0.7520 0.9336
0.2500 0.0729 0.2839
0.2500 0.8680 0.5273
0.7500 0.1320 0.4727
0.7500 0.9271 0.7161
0.7500 0.7610 0.2061
0.2500 0.2390 0.7939
0.7500 0.5041 0.6408
0.2500 0.4959 0.3592

2.
Y2GaSnHg | Alexandria via LeMat-Bulk | PBE | relaxed; formation energy = 71 meV/atom; DOS at the Fermi energy = 0.56 states/eV per atom
1.0
5.6747 0.0000 0.0000
0.0000 4.8005 0.0000
0.0000 0.0000 5.6747
Y Hg Ga Sn
2 1 1 1
Direct
0.0000 0.0000 0.5000
0.5000 0.0000 0.0000
0.0000 0.0000 0.0000
0.0000 0.5000 0.0000
0.5000 0.5000 0.5000

3.
YGaSnHg | Alexandria via LeMat-Bulk | PBE | relaxed; formation energy = -451 meV/atom; DOS at the Fermi energy = 0.37 states/eV per atom
1.0
-3.5973 -2.3317 -1.1592
0.2884 -2.3752 3.8826
-2.6813 3.0961 2.0932
Y Ga Sn Hg
1 1 1 1
Direct
0.0000 0.5000 0.5000
0.5000 0.0000 0.5000
0.5000 0.5000 0.0000
0.0000 0.0000 0.0000

4.
ZnGaSnHg | Alexandria via LeMat-Bulk | PBE | relaxed; formation energy = 160 meV/atom; DOS at the Fermi energy = 0.75 states/eV per atom
1.0
5.0145 0.0000 0.0000
2.5073 4.3427 0.0000
2.5073 1.4476 4.0943
Zn Hg Ga Sn
1 1 1 1
Direct
0.0000 0.0000 0.0000
0.7500 0.7500 0.7500
0.5000 0.5000 0.5000
0.2500 0.2500 0.2500

5.
Sr2GaHg3 | Alexandria via LeMat-Bulk | PBE | relaxed; formation energy = -472 meV/atom; DOS at the Fermi energy = 0.67 states/eV per atom
1.0
-1.5452 -4.1207 -4.5959
5.1141 -3.7696 -0.3543
-5.2652 -1.3318 8.3767
Sr Ga Hg
4 2 6
Direct
0.7500 0.2500 0.5000
0.7559 0.2441 0.0000
0.2500 0.7500 0.5000
0.2441 0.7559 0.0000
0.6661 0.6661 0.3322
0.3339 0.3339 0.6678
0.8270 0.8270 0.1717
0.6553 0.6553 0.8283
0.1730 0.1730 0.8283
0.3447 0.3447 0.1717
0.1721 0.1721 0.3441
0.8279 0.8279 0.6559

6.
Sr4GaHg2 | Alexandria via LeMat-Bulk | PBE | relaxed; formation energy = -401 meV/atom; DOS at the Fermi energy = 0.63 states/eV per atom
1.0
-3.6789 -2.4903 3.4212
0.1094 -5.5671 0.6602
4.7107 -1.7354 8.3972
Sr Hg Ga
4 2 1
Direct
0.8776 0.8776 0.3672
0.1224 0.1224 0.6328
0.6273 0.6273 0.1181
0.3727 0.3727 0.8819
0.7509 0.7509 0.7473
0.2491 0.2491 0.2527
0.0000 0.0000 0.0000

7.
Sr6Ga2Hg | Alexandria via LeMat-Bulk | PBE | relaxed; formation energy = -278 meV/atom; DOS at the Fermi energy = 1.37 states/eV per atom
1.0
9.1283 0.0233 -3.3019
-4.8267 7.9504 -2.7788
-0.0743 -0.0233 9.7068
Sr Ga Hg
12 4 2
Direct
0.5606 0.7350 0.8256
0.4394 0.2650 0.1744
0.0905 0.2650 0.8256
0.9095 0.7350 0.1744
0.8100 0.7491 0.5591
0.1900 0.2509 0.4409
0.1900 0.7491 0.9390
0.8100 0.2509 0.0610
0.6820 0.3484 0.6664
0.3180 0.6516 0.3336
0.3180 0.9845 0.6664
0.6820 0.0155 0.3336
0.5000 0.3929 0.8929
0.5000 0.6071 0.1071
0.6672 0.0000 0.6672
0.3328 0.0000 0.3328
0.0000 0.5000 0.5000
0.0000 0.0000 0.0000

8.
Sr5Ga4Hg | Alexandria via LeMat-Bulk | PBE | relaxed; formation energy = -394 meV/atom; DOS at the Fermi energy = 0.73 states/eV per atom
1.0
-3.8092 0.4500 -0.9118
0.3887 -2.6225 -2.9181
-4.6260 -14.3246 12.2571
Sr Ga Hg
5 4 1
Direct
0.5000 0.5000 0.1058
0.5000 0.5000 0.3023
0.5000 0.5000 0.5000
0.5000 0.5000 0.6977
0.5000 0.5000 0.8942
0.0000 0.0000 0.2065
0.0000 0.0000 0.3992
0.0000 0.0000 0.6008
0.0000 0.0000 0.7935
0.0000 0.0000 0.0000

Q: Which of these has the highest formation energy?
A: ZnGaSnHg